Record 1
Rb2Ni2PtSe4: relaxed, GGA-PBE.

a = 8.869 Å, b = 7.539 Å, c = 6.391 Å
α = 78.61°, β = 56.44°, γ = 44.95°
Positions (direct):
Rb (0.148, 0.148, 0.852)
Rb (0.852, 0.852, 0.148)
Ni (0.000, 0.000, 0.500)
Ni (0.500, 0.500, 0.000)
Pt (0.500, 0.500, 0.500)
Se (0.213, 0.560, 0.440)
Se (0.440, 0.787, 0.213)
Se (0.560, 0.213, 0.787)
Se (0.787, 0.440, 0.560)

## Properties
Total energy   -38.9 eV for the cell shown
ρ   5.6 g/cm³

=====

Record 2
Re6NiPt: relaxed, GGA-PBE.

a = 5.495 Å, b = 5.495 Å, c = 4.383 Å
α = 90.00°, β = 90.00°, γ = 120.00°
Positions (direct):
Re (0.001, 0.501, 0.000)
Re (0.173, 0.347, 0.500)
Re (0.173, 0.827, 0.500)
Re (0.499, 0.501, 0.000)
Re (0.499, 0.999, 0.000)
Re (0.653, 0.827, 0.500)
Ni (0.667, 0.333, 0.500)
Pt (0.000, 0.000, 0.000)

## Properties
Formation enthalpy at 0 K   -0.1528 eV/atom
ρ   19.9 g/cm³

=====

Record 3
ReSiNiPt: relaxed, GGA-PBE.

a = 4.272 Å, b = 4.272 Å, c = 4.272 Å
α = 60.00°, β = 60.00°, γ = 60.00°
Positions (direct):
Re (0.000, 0.000, 0.000)
Si (0.500, 0.500, 0.500)
Ni (0.750, 0.750, 0.750)
Pt (0.250, 0.250, 0.250)

## Properties
Total energy   -28.4 eV for the cell shown
ρ   14.1 g/cm³